Record 1
Re3F: optimized geometry, PBE.

The mass density comes out at 16.88 g cm⁻³. The formation energy from raw total energies comes out at 391.8 meV/atom. The value obtained for the spin magnetization is 0.00 μB/cell.

The structure in extended XYZ format:
```
4
Lattice="4.315 0.000 0.000 2.158 3.737 0.000 2.158 1.246 3.524" Properties=species:S:1:pos:R:3 pbc="T T T"
Re 6.473 3.737 2.643
Re 4.315 2.492 1.762
Re 2.158 1.246 0.881
F 0.000 0.000 0.000
```

=====

Record 2
CaSbAu: optimized geometry, PBE.

The mass density comes out at 8.01 g cm⁻³. The formation energy from raw total energies comes out at -445.1 meV/atom. The value obtained for the spin magnetization is 0.00 μB/cell.

The structure in extended XYZ format:
```
6
Lattice="4.559 -2.632 0.000 0.000 5.265 0.000 0.000 0.000 6.200" Properties=species:S:1:pos:R:3 pbc="T T T"
Ca 1.520 2.632 1.550
Ca 3.040 0.000 4.650
Au 0.000 0.000 3.100
Au 0.000 0.000 0.000
Sb 1.520 2.632 4.650
Sb 3.040 0.000 1.550
```

=====

Record 3
PuGa6Ag12: optimized geometry, PBE.

The mass density comes out at 8.74 g cm⁻³. For the formation energy from the elements, the calculation gives 0.07 eV per atom. The value obtained for the spin magnetization is 5.97 μB/cell.

The structure in extended XYZ format:
```
19
Lattice="7.513 -0.034 -0.048 -1.896 7.270 -0.048 -1.896 -2.442 6.848" Properties=species:S:1:pos:R:3 pbc="T T T"
Ag 1.941 0.098 2.682
Ag 1.781 2.294 5.775
Ag 4.108 2.889 4.069
Ga 0.181 0.233 4.798
Ag 1.781 4.696 4.069
Pu 0.000 0.000 0.000
Ag -0.386 1.905 2.682
Ga 4.269 1.279 1.801
Ag 5.467 -0.402 3.376
Ag 1.861 -1.325 6.019
Ag 1.941 2.500 0.977
Ag -1.745 5.196 3.376
Ag -1.745 1.474 6.019
Ga 3.541 0.341 4.950
Ag 1.861 6.119 0.733
Ga 0.181 4.453 1.801
Ag 5.467 3.320 0.733
Ga -0.548 3.515 4.950
Ga 3.541 4.561 1.953
```

=====

Record 4
Er16In4Ir4O: optimized geometry, PBE.

The mass density comes out at 10.56 g cm⁻³. The formation energy from raw total energies comes out at -807.1 meV/atom. The value obtained for the spin magnetization is 0.00 μB/cell.

The structure in extended XYZ format:
```
25
Lattice="9.554 0.000 0.000 4.777 8.274 0.000 4.777 2.758 7.801" Properties=species:S:1:pos:R:3 pbc="T T T"
Ir 9.554 3.109 4.752
Er 16.173 9.337 4.348
In 3.183 1.838 1.299
In 4.777 4.599 1.299
Er 11.449 4.423 3.127
Er 14.332 6.149 4.348
Er 12.491 7.212 7.354
Ir 9.554 5.516 1.347
Er 9.554 7.704 3.127
Er 9.554 2.030 1.435
Er 12.491 9.337 4.348
In 4.777 2.758 3.903
Er 14.332 10.400 7.354
O 0.000 0.000 0.000
Er 9.554 5.516 6.221
Er 12.574 3.773 6.366
Er 7.660 4.423 3.127
Ir 11.639 6.720 4.752
Er 9.554 9.003 6.366
Er 16.173 7.212 7.354
Er 6.535 3.773 6.366
In 6.372 1.838 1.299
Er 12.574 7.259 1.435
Er 6.535 7.259 1.435
Ir 7.470 6.720 4.752
```

=====

Record 5
Rb2P2Pt: optimized geometry, PBE.

The mass density comes out at 6.24 g cm⁻³. For the formation energy from the elements, the calculation gives -0.31 eV per atom. The value obtained for the spin magnetization is 0.00 μB/cell.

The structure in extended XYZ format:
```
10
Lattice="6.297 0.000 0.000 0.000 6.297 0.000 0.000 0.000 5.744" Properties=species:S:1:pos:R:3 pbc="T T T"
P 3.969 0.820 0.000
Pt 3.149 3.149 0.000
P 5.477 3.969 0.000
Pt 0.000 0.000 0.000
Rb 4.273 5.173 2.872
Rb 1.124 4.273 2.872
Rb 2.024 1.124 2.872
P 0.820 2.328 0.000
Rb 5.173 2.024 2.872
P 2.328 5.477 0.000
```

=====

Record 6
Pm12Dy5Y2: optimized geometry, PBE.

The mass density comes out at 7.10 g cm⁻³. For the formation energy from the elements, the calculation gives 0.10 eV per atom. The value obtained for the spin magnetization is 0.00 μB/cell.

The structure in extended XYZ format:
```
19
Lattice="-2.184 -11.433 1.290 8.759 4.768 3.929 -4.131 1.295 4.481" Properties=species:S:1:pos:R:3 pbc="T T T"
Dy -1.945 -4.937 6.109
Pm 4.687 -6.429 4.110
Dy 1.037 0.303 4.438
Y -0.498 -2.607 0.294
Pm 3.937 -3.120 5.675
Pm 0.586 -8.612 3.658
Y -1.686 -8.826 0.996
Dy 1.406 -5.673 5.262
Pm 1.647 -3.056 3.031
Dy 4.389 -0.433 3.591
Pm -2.589 -7.985 4.673
Pm 0.796 -2.314 6.670
Pm 5.032 2.615 5.028
Pm 3.817 0.096 7.313
Pm -2.243 1.059 5.590
Dy -2.066 0.647 2.241
Pm 1.857 3.242 6.043
Pm -1.373 -5.466 2.387
Pm -1.493 -2.250 4.026
```